# 1
VASP calculation (GGA-PBE) on Zr4PtSe after structural relaxation.

The structure in POSCAR format:
```
Zr4PtSe
1.0
2.746 -3.775 3.152
-0.270 0.293 5.619
-2.879 -3.886 2.887
Se Zr Pt
1 4 1
Direct
0.000 0.000 0.000
0.376 0.873 0.376
0.376 0.376 0.873
0.873 0.376 0.376
0.376 0.376 0.376
0.750 0.750 0.750
```

Computed properties:
* E_tot: -7.126 eV/atom
* energy relative to the elements, uncorrected: 0.16 eV/atom

***

# 2
VASP calculation (GGA-PBE) on BaBiSb2Te after structural relaxation.

The structure in POSCAR format:
```
BaBiSb2Te
1.0
6.222 0.000 0.000
0.000 6.222 0.000
0.000 0.000 6.247
Ba Sb Te Bi
1 2 1 1
Direct
0.000 0.000 0.000
0.500 0.000 0.000
0.000 0.500 0.000
0.000 0.000 0.500
0.500 0.500 0.500
```

Computed properties:
* E_tot: -2.579 eV/atom
* energy relative to the elements, uncorrected: 0.86 eV/atom